# 1
A plane-wave DFT calculation with PBE was carried out for crystalline Li2Ga2Ag5 at its relaxed geometry.

Cell and atoms, written as extended XYZ:
```
18
Lattice="6.6892 0.0000 0.0000 0.0000 5.6525 0.0000 -3.3446 -2.8262 8.2537" Properties=species:S:1:pos:R:3 pbc="T T T"
Li 0.8094 3.0320 0.7895
Ag 1.6602 4.4572 2.7137
Ag -1.6749 1.6193 6.5590
Ag 5.0195 4.4455 1.6947
Li 0.8094 3.0320 7.4642
Ga 3.3446 3.0348 0.0000
Li 2.5352 0.2058 7.4642
Ga 0.0000 0.2086 0.0000
Li 2.5352 0.2058 0.7895
Ag 1.6844 1.6310 5.5400
Ga 3.6059 3.0480 4.1268
Ga -0.2613 0.2217 4.1268
Ag 1.6844 1.6310 2.7137
Ag -0.4906 3.0357 4.1269
Ag 1.6602 -1.1953 5.5400
Ag -1.6698 -1.2070 6.5590
Ag 5.0144 1.6193 1.6947
Ag 3.8352 0.2094 4.1268
```

Total energy ... -2.706 eV/atom
Crystal system ... orthorhombic
Space-group type ... No. 46
DOS at the Fermi energy ... 2.66 states/eV/f.u.
Energy relative to the elements ... -0.0244 eV per atom
Relative energy among the computed polymorphs ... 62 meV/atom

***

# 2
A plane-wave DFT calculation with PBE was carried out for crystalline Li5Ga2Ag4 at its relaxed geometry.

Cell and atoms, written as extended XYZ:
```
11
Lattice="-1.8081 0.1171 -2.1900 -4.0252 -5.4667 3.0310 -5.2231 5.7993 4.6224" Properties=species:S:1:pos:R:3 pbc="T T T"
Li -3.5570 -0.4799 2.9111
Ga -2.1802 1.6401 1.8877
Li -2.0126 -2.7334 1.5155
Li -4.1125 -3.7518 3.1948
Li -5.6913 0.8124 4.7423
Ga -7.0681 -1.3076 5.7656
Ag -8.7239 0.8128 5.4016
Ag -2.3324 -0.3631 0.0618
Li -5.1358 4.0843 4.4586
Ag -4.9638 2.0669 2.3642
Ag -6.0926 -1.6172 3.0992
```

Total energy ... -2.618 eV/atom
Crystal system ... monoclinic
Space-group type ... No. 10
DOS at the Fermi energy ... 3.77 states/eV/f.u.
Energy relative to the elements ... -0.1607 eV per atom
Relative energy among the computed polymorphs ... 0 meV/atom

***

Magnetic moment: 0.000, 0.000 (μB/atom)